VASP calculation (PBE) on a geometry-optimized Y6Co2Pb structure. Values from VASP.

Computed properties:
Magnetization in μB/atom: 0.000
DOS at the Fermi energy in states/eV/f.u.: 7.0
Crystal system: orthorhombic

Structure (Quantum ESPRESSO input):
```
&SYSTEM
  ibrav = 0, nat = 18, ntyp = 3
/
ATOMIC_SPECIES
Co 58.93 Co.upf
Y 88.91 Y.upf
Pb 207.20 Pb.upf
CELL_PARAMETERS angstrom
7.812 0.600 -3.166
-4.360 6.951 -2.022
0.097 -0.600 8.429
ATOMIC_POSITIONS crystal
Co 0.500 0.888 0.388
Co 0.654 0.654 0.000
Y 0.687 0.675 0.362
Y 0.313 0.325 0.638
Y 0.211 0.446 0.235
Y 0.898 0.183 0.715
Pb 0.000 0.000 0.000
Co 0.500 0.112 0.612
Y 0.789 0.554 0.765
Y 0.532 0.817 0.715
Co 0.346 0.346 0.000
Y 0.211 0.975 0.765
Y 0.102 0.817 0.285
Y 0.789 0.025 0.235
Pb 0.000 0.500 0.500
Y 0.468 0.183 0.285
Y 0.313 0.675 0.988
Y 0.687 0.325 0.012
```



VASP calculation (PBE) on a geometry-optimized LaHo2Er2Tm2 structure. Values from VASP.

Computed properties:
Magnetization in μB/atom: 0.000
DOS at the Fermi energy in states/eV/f.u.: 12.1
Crystal system: monoclinic

Structure (Quantum ESPRESSO input):
```
&SYSTEM
  ibrav = 0, nat = 7, ntyp = 4
/
ATOMIC_SPECIES
Ho 164.93 Ho.upf
Tm 168.93 Tm.upf
La 138.91 La.upf
Er 167.26 Er.upf
CELL_PARAMETERS angstrom
-3.083 1.484 0.647
0.188 -5.064 3.144
4.026 3.895 10.250
ATOMIC_POSITIONS crystal
Ho 0.655 0.310 0.926
Ho 0.345 0.690 0.074
Tm 0.704 0.407 0.631
La 0.000 0.000 0.500
Tm 0.296 0.593 0.369
Er 0.405 0.809 0.774
Er 0.595 0.191 0.226
```



VASP calculation (PBE) on a geometry-optimized GaNi4As2 structure. Values from VASP.

Computed properties:
Magnetization in μB/atom: 0.000
DOS at the Fermi energy in states/eV/f.u.: 5.0
Crystal system: tetragonal

Structure (Quantum ESPRESSO input):
```
&SYSTEM
  ibrav = 0, nat = 7, ntyp = 3
/
ATOMIC_SPECIES
As 74.92 As.upf
Ni 58.69 Ni.upf
Ga 69.72 Ga.upf
CELL_PARAMETERS angstrom
-0.315 2.046 3.779
-3.654 -2.121 0.844
1.197 -4.459 4.970
ATOMIC_POSITIONS crystal
As 0.377 0.377 0.245
Ni 0.000 0.500 0.000
Ni 0.808 0.808 0.384
Ni 0.192 0.192 0.616
Ni 0.500 0.000 0.000
Ga 0.000 0.000 0.000
As 0.623 0.623 0.755
```



VASP calculation (PBE) on a geometry-optimized Nd3Al7Pt4 structure. Values from VASP.

Computed properties:
Magnetization in μB/atom: 0.000
DOS at the Fermi energy in states/eV/f.u.: 7.2
Crystal system: monoclinic

Structure (Quantum ESPRESSO input):
```
&SYSTEM
  ibrav = 0, nat = 14, ntyp = 3
/
ATOMIC_SPECIES
Pt 195.08 Pt.upf
Al 26.98 Al.upf
Nd 144.24 Nd.upf
CELL_PARAMETERS angstrom
4.186 0.000 1.056
1.530 7.650 2.762
0.083 0.117 8.495
ATOMIC_POSITIONS crystal
Pt 0.342 0.534 0.782
Pt 0.881 0.893 0.346
Al 0.157 0.612 0.074
Nd 0.310 0.186 0.193
Al 0.497 0.216 0.791
Al 0.843 0.388 0.926
Pt 0.119 0.107 0.654
Nd 0.000 0.500 0.500
Pt 0.658 0.466 0.218
Al 0.000 0.000 0.000
Al 0.318 0.835 0.528
Nd 0.690 0.814 0.807
Al 0.682 0.165 0.472
Al 0.503 0.784 0.209
```



VASP calculation (PBE) on a geometry-optimized Nd2Mg2Sn3 structure. Values from VASP.

Computed properties:
Magnetization in μB/atom: 0.000
DOS at the Fermi energy in states/eV/f.u.: 3.9
Crystal system: monoclinic

Structure (Quantum ESPRESSO input):
```
&SYSTEM
  ibrav = 0, nat = 14, ntyp = 3
/
ATOMIC_SPECIES
Sn 118.71 Sn.upf
Mg 24.30 Mg.upf
Nd 144.24 Nd.upf
CELL_PARAMETERS angstrom
-4.479 -0.959 -1.215
-3.423 -4.178 6.676
-5.324 8.221 3.900
ATOMIC_POSITIONS crystal
Sn 0.095 0.938 0.871
Mg 0.596 0.476 0.331
Mg 0.050 0.221 0.679
Sn 0.173 0.493 0.160
Nd 0.586 0.760 0.068
Sn 0.371 0.785 0.473
Sn 0.827 0.507 0.840
Mg 0.950 0.779 0.321
Mg 0.404 0.524 0.669
Sn 0.905 0.062 0.129
Nd 0.414 0.240 0.932
Sn 0.629 0.215 0.527
Nd 0.266 0.137 0.330
Nd 0.734 0.863 0.670
```



VASP calculation (PBE) on a geometry-optimized YMgGe structure. Values from VASP.

Computed properties:
Magnetization in μB/atom: 0.000
DOS at the Fermi energy in states/eV/f.u.: 2.0
Crystal system: orthorhombic

Structure (Quantum ESPRESSO input):
```
&SYSTEM
  ibrav = 0, nat = 18, ntyp = 3
/
ATOMIC_SPECIES
Y 88.91 Y.upf
Mg 24.30 Mg.upf
Ge 72.64 Ge.upf
CELL_PARAMETERS angstrom
4.267 0.000 0.000
0.000 7.467 0.000
0.000 0.000 12.788
ATOMIC_POSITIONS crystal
Y 0.000 0.844 0.750
Mg 0.500 0.441 0.383
Mg 0.500 0.797 0.250
Ge 0.500 0.935 0.904
Ge 0.000 0.449 0.750
Ge 0.500 0.065 0.404
Y 0.000 0.156 0.250
Mg 0.500 0.559 0.883
Mg 0.500 0.203 0.750
Y 0.000 0.776 0.449
Ge 0.500 0.065 0.096
Y 0.000 0.224 0.949
Mg 0.500 0.441 0.117
Y 0.000 0.224 0.551
Y 0.000 0.776 0.051
Ge 0.000 0.551 0.250
Mg 0.500 0.559 0.617
Ge 0.500 0.935 0.596
```



VASP calculation (PBE) on a geometry-optimized Cr2Cu structure. Values from VASP.

Computed properties:
Magnetization in μB/atom: 0.000
DOS at the Fermi energy in states/eV/f.u.: 2.9
Crystal system: orthorhombic

Structure (Quantum ESPRESSO input):
```
&SYSTEM
  ibrav = 0, nat = 6, ntyp = 2
/
ATOMIC_SPECIES
Cr 52.00 Cr.upf
Cu 63.55 Cu.upf
CELL_PARAMETERS angstrom
1.167 -7.077 0.000
1.167 7.077 0.000
0.000 0.000 4.272
ATOMIC_POSITIONS crystal
Cr 0.547 0.453 0.250
Cr 0.453 0.547 0.750
Cu 0.118 0.882 0.750
Cr 0.786 0.214 0.750
Cu 0.882 0.118 0.250
Cr 0.214 0.786 0.250
```



VASP calculation (PBE) on a geometry-optimized Ti4Cr structure. Values from VASP.

Computed properties:
Magnetization in μB/atom: 0.000
Energy above the most stable polymorph in this dataset in meV/atom: 222
DOS at the Fermi energy in states/eV/f.u.: 8.2
Crystal system: cubic

Structure (Quantum ESPRESSO input):
```
&SYSTEM
  ibrav = 0, nat = 10, ntyp = 2
/
ATOMIC_SPECIES
Ti 47.87 Ti.upf
Cr 52.00 Cr.upf
CELL_PARAMETERS angstrom
-1.156 -5.621 -2.609
-5.500 -1.062 -2.892
-0.201 -0.581 -6.274
ATOMIC_POSITIONS crystal
Ti 0.857 0.857 0.857
Ti 0.393 0.393 0.822
Ti 0.857 0.857 0.428
Ti 0.393 0.393 0.393
Cr 0.000 0.000 0.000
Ti 0.822 0.393 0.393
Cr 0.250 0.250 0.250
Ti 0.393 0.822 0.393
Ti 0.428 0.857 0.857
Ti 0.857 0.428 0.857
```



Number 1: VASP energy -59.264 eV/f.u.. Number 2: VASP energy -31.034 eV/f.u.. Number 3: VASP energy -32.669 eV/f.u.. Number 4: VASP energy -78.275 eV/f.u.. Number 5: VASP energy -28.284 eV/f.u.. Number 6: VASP energy -14.423 eV/f.u.. Number 7: VASP energy -22.422 eV/f.u.. Number 8: VASP energy -37.342 eV/f.u..